(1)
K3SiF, optimized geometry, DFT GGA-PBE; formation energy from raw total energies = -0.827 eV/atom; space group = Pm-3m; energy relative to the lowest polymorph listed for this composition = 0 meV per atom
1.0
5.3407 0.0000 0.0000
0.0000 5.3407 0.0000
0.0000 0.0000 5.3407
K Si F
3 1 1
direct
0.0000 0.0000 0.5000 K
0.0000 0.5000 0.0000 K
0.5000 0.0000 0.0000 K
0.5000 0.5000 0.5000 Si
0.0000 0.0000 0.0000 F

(2)
K3SiF6, optimized geometry, DFT GGA-PBE; formation energy from raw total energies = -2.734 eV/atom; space group = Fmmm
1.0
0.0000 4.3270 5.8013
3.9331 0.0000 5.8013
3.9331 4.3270 0.0000
K Si F
3 1 6
direct
0.0000 0.0000 0.0000 K
0.2500 0.2500 0.2500 K
0.7500 0.7500 0.7500 K
0.5000 0.5000 0.5000 Si
0.2372 0.5523 0.7628 F
0.3011 0.6989 0.3011 F
0.4477 0.7628 0.5523 F
0.5523 0.2372 0.4477 F
0.6989 0.3011 0.6989 F
0.7628 0.4477 0.2372 F

(3)
KSiF6, optimized geometry, DFT GGA-PBE; formation energy from raw total energies = -2.707 eV/atom; space group = C2/m; energy relative to the lowest polymorph listed for this composition = 4 meV per atom
1.0
4.8610 -3.0862 0.0000
4.8610 3.0862 0.0000
-3.2132 0.0000 4.8496
K Si F
1 1 6
direct
0.0000 0.0000 0.0000 K
0.5000 0.5000 0.5000 Si
0.2361 0.6265 0.2527 F
0.3132 0.3132 0.4624 F
0.3735 0.7639 0.7473 F
0.6265 0.2361 0.2527 F
0.6868 0.6868 0.5376 F
0.7639 0.3735 0.7473 F

(4)
KSi2F2, optimized geometry, DFT GGA-PBE; formation energy from raw total energies = -0.741 eV/atom; space group = P4/mbm; energy relative to the lowest polymorph listed for this composition = 454 meV per atom
1.0
8.1219 0.0000 0.0000
0.0000 8.1219 0.0000
0.0000 0.0000 3.1711
K Si F
2 4 4
direct
0.0000 0.0000 0.0000 K
0.5000 0.5000 0.0000 K
0.0974 0.4026 0.5000 Si
0.4026 0.9026 0.5000 Si
0.5974 0.0974 0.5000 Si
0.9026 0.5974 0.5000 Si
0.2225 0.2775 0.0000 F
0.2775 0.7775 0.0000 F
0.7225 0.2225 0.0000 F
0.7775 0.7225 0.0000 F

(5)
K2TlSiF8, optimized geometry, DFT GGA-PBE; formation energy from raw total energies = -2.587 eV/atom; space group = P-3m1
1.0
5.4571 0.0000 0.0000
-2.7285 4.7260 0.0000
0.0000 0.0000 7.7670
K Tl Si F
2 1 1 8
direct
0.3333 0.6667 0.3350 K
0.6667 0.3333 0.6650 K
0.0000 0.0000 0.0000 Tl
0.0000 0.0000 0.5000 Si
0.1474 0.2949 0.6288 F
0.1474 0.8526 0.6288 F
0.2949 0.1474 0.3712 F
0.3333 0.6667 0.0023 F
0.6667 0.3333 0.9977 F
0.7051 0.8526 0.6288 F
0.8526 0.1474 0.3712 F
0.8526 0.7051 0.3712 F

(6)
KTl2SiF8, optimized geometry, DFT GGA-PBE; formation energy from raw total energies = -2.445 eV/atom; space group = P-3m1
1.0
5.7289 0.0000 0.0000
-2.8644 4.9613 0.0000
0.0000 0.0000 7.5360
K Tl Si F
1 2 1 8
direct
0.0000 0.0000 0.0000 K
0.3333 0.6667 0.3117 Tl
0.6667 0.3333 0.6883 Tl
0.0000 0.0000 0.5000 Si
0.1407 0.2815 0.6334 F
0.1407 0.8593 0.6334 F
0.2815 0.1407 0.3666 F
0.3333 0.6667 0.0154 F
0.6667 0.3333 0.9846 F
0.7185 0.8593 0.6334 F
0.8593 0.1407 0.3666 F
0.8593 0.7185 0.3666 F

(7)
KTlSiF6, optimized geometry, DFT GGA-PBE; formation energy from raw total energies = -2.867 eV/atom; space group = C2
1.0
3.0485 -5.2985 0.0000
3.0485 5.2985 0.0000
-0.0067 0.0000 5.2080
K Tl Si F
1 1 1 6
direct
0.0000 0.0000 0.0000 K
0.3333 0.6667 0.5000 Tl
0.6672 0.3328 0.0000 Si
0.4356 0.0996 0.8105 F
0.4373 0.3346 0.1903 F
0.6654 0.5627 0.8097 F
0.6661 0.1014 0.1906 F
0.8986 0.3339 0.8094 F
0.9004 0.5644 0.1895 F

(8)
KYSi2F, optimized geometry, DFT GGA-PBE; formation energy from raw total energies = 0.295 eV/atom; space group = P4/mmm
1.0
5.2479 0.0000 0.0000
0.0000 5.2479 0.0000
0.0000 0.0000 10.1652
K Y Si F
1 1 2 1
direct
0.0000 0.0000 0.0000 K
0.0000 0.0000 0.5000 Y
0.0000 0.5000 0.5000 Si
0.5000 0.0000 0.5000 Si
0.5000 0.5000 0.0000 F

(9)
K2SmF5, optimized geometry, DFT GGA-PBE; formation energy from raw total energies = -3.480 eV/atom; space group = Pnma
1.0
11.0015 0.0000 0.0000
0.0000 7.4981 0.0000
0.0000 0.0000 6.7368
K Sm F
8 4 20
direct
0.1721 0.0026 0.0294 K
0.1721 0.4974 0.0294 K
0.3279 0.5026 0.5294 K
0.3279 0.9974 0.5294 K
0.6721 0.0026 0.4706 K
0.6721 0.4974 0.4706 K
0.8279 0.5026 0.9706 K
0.8279 0.9974 0.9706 K
0.0049 0.2500 0.5621 Sm
0.4951 0.7500 0.0621 Sm
0.5049 0.2500 0.9379 Sm
0.9951 0.7500 0.4379 Sm
0.0115 0.2500 0.8992 F
0.0797 0.5339 0.6464 F
0.0797 0.9661 0.6464 F
0.1694 0.2500 0.3648 F
0.1950 0.7500 0.3317 F
0.3050 0.2500 0.8317 F
0.3306 0.7500 0.8648 F
0.4203 0.0339 0.1464 F
0.4203 0.4661 0.1464 F
0.4885 0.7500 0.3992 F
0.5115 0.2500 0.6008 F
0.5797 0.5339 0.8536 F
0.5797 0.9661 0.8536 F
0.6694 0.2500 0.1352 F
0.6950 0.7500 0.1683 F
0.8050 0.2500 0.6683 F
0.8306 0.7500 0.6352 F
0.9203 0.0339 0.3536 F
0.9203 0.4661 0.3536 F
0.9885 0.7500 0.1008 F

(10)
K3SmF8, optimized geometry, DFT GGA-PBE; formation energy from raw total energies = -2.749 eV/atom; space group = I4/mmm
1.0
-3.0272 3.0272 6.1937
3.0272 -3.0272 6.1937
3.0272 3.0272 -6.1937
K Sm F
3 1 8
direct
0.0000 0.0000 0.0000 K
0.2500 0.7500 0.5000 K
0.7500 0.2500 0.5000 K
0.5000 0.5000 0.0000 Sm
0.1672 0.1672 0.5576 F
0.1672 0.6096 0.0000 F
0.3904 0.3904 0.5576 F
0.3904 0.8328 0.0000 F
0.6096 0.1672 0.0000 F
0.6096 0.6096 0.4424 F
0.8328 0.3904 0.0000 F
0.8328 0.8328 0.4424 F

(11)
K2SmF4, optimized geometry, DFT GGA-PBE; formation energy from raw total energies = -2.997 eV/atom; space group = I4/mmm
1.0
-2.3083 2.3083 7.7424
2.3083 -2.3083 7.7424
2.3083 2.3083 -7.7424
K Sm F
2 1 4
direct
0.1751 0.1751 0.0000 K
0.8249 0.8249 0.0000 K
0.5000 0.5000 0.0000 Sm
0.0000 0.5000 0.5000 F
0.3557 0.3557 0.0000 F
0.5000 0.0000 0.5000 F
0.6443 0.6443 0.0000 F

no.,total moment (Bohr magnetons per cell)
1,2.0
2,0.0
3,1.0
4,0.0
5,1.0
6,1.0
7,0.0
8,0.0
9,0.7
10,2.0
11,0.0